Record 1
## Pr3Ho2Er (PBE-GGA)

Data for Pr3Ho2Er after structural relaxation.

Size of the total moment = 0.00 μB/f.u.
Fermi-level density of states = 38.5 states/eV per cell
Energy above the most stable polymorph in this dataset = 0.00 kJ per mole of atoms

```
data_Pr3Ho2Er
_space_group_name_H-M_alt 'C 1 2/m 1'
_space_group_IT_number 12
_space_group_name_Hall '-C 2y'
_cell_length_a 13.2830
_cell_length_b 3.5610
_cell_length_c 17.7970
_cell_angle_alpha 90.00
_cell_angle_beta 102.46
_cell_angle_gamma 90.00
loop_
_atom_site_label
_atom_site_fract_x
_atom_site_fract_y
_atom_site_fract_z
Pr1 0.0684 0.0000 0.1694
Pr2 0.1274 0.5000 0.9905
Pr3 0.2360 0.5000 0.3383
Ho1 0.1317 0.5000 0.5002
Ho2 0.1956 0.0000 0.8338
Er1 0.0401 0.5000 0.6811
```

Record 2
## PrHo7Er2 (PBE-GGA)

Data for PrHo7Er2 after structural relaxation.

Size of the total moment = 0.03 μB/f.u.
Fermi-level density of states = 14.1 states/eV per cell
Energy above the most stable polymorph in this dataset = 0.00 kJ per mole of atoms

```
data_PrHo7Er2
_space_group_name_H-M_alt 'P -1'
_space_group_IT_number 2
_space_group_name_Hall '-P 1'
_cell_length_a 6.1216
_cell_length_b 7.0855
_cell_length_c 7.9041
_cell_angle_alpha 77.10
_cell_angle_beta 75.02
_cell_angle_gamma 73.33
loop_
_atom_site_label
_atom_site_fract_x
_atom_site_fract_y
_atom_site_fract_z
Pr1 0.0000 0.0000 0.0000
Ho1 0.0000 0.5000 0.0000
Ho2 0.2009 0.7991 0.5990
Ho3 0.3999 0.1002 0.2015
Ho4 0.4013 0.5984 0.2017
Er1 0.1996 0.3012 0.5991
```

Record 3
## Pr8Ho4Er3 (PBE-GGA)

Data for Pr8Ho4Er3 after structural relaxation.

Size of the total moment = 0.00 μB/f.u.
Fermi-level density of states = 44.6 states/eV per cell
Raw total energy = -130.52 eV for the cell shown

```
data_Pr8Ho4Er3
_space_group_name_H-M_alt 'C 1 2/m 1'
_space_group_IT_number 12
_space_group_name_Hall '-C 2y'
_cell_length_a 13.8210
_cell_length_b 12.2497
_cell_length_c 6.9084
_cell_angle_alpha 90.00
_cell_angle_beta 117.98
_cell_angle_gamma 90.00
loop_
_atom_site_label
_atom_site_fract_x
_atom_site_fract_y
_atom_site_fract_z
Pr1 0.0000 0.2058 0.0000
Pr2 0.0000 0.2540 0.5000
Pr3 0.2041 0.0000 0.1762
Pr4 0.2438 0.5000 0.2868
Ho1 0.0000 0.5000 0.0000
Ho2 0.0000 0.5000 0.5000
Ho3 0.2500 0.2500 0.0000
Er1 0.0000 0.0000 0.5000
Er2 0.2500 0.2500 0.5000
```

Record 4
## Pr4Ho5Er4 (PBE-GGA)

Data for Pr4Ho5Er4 after structural relaxation.

Size of the total moment = 0.00 μB/f.u.
Fermi-level density of states = 37.1 states/eV per cell
Raw total energy = -119.89 eV for the cell shown

```
data_Pr4Ho5Er4
_space_group_name_H-M_alt 'I 4/m'
_space_group_IT_number 87
_space_group_name_Hall '-I 4'
_cell_length_a 12.9144
_cell_length_b 12.9144
_cell_length_c 5.0483
_cell_angle_alpha 90.00
_cell_angle_beta 90.00
_cell_angle_gamma 90.00
loop_
_atom_site_label
_atom_site_fract_x
_atom_site_fract_y
_atom_site_fract_z
Pr1 0.0788 0.6188 0.0000
Ho1 0.0000 0.0000 0.0000
Ho2 0.0395 0.8114 0.5000
Er1 0.1530 0.2288 0.0000
```

Record 5
## PrHo2Er7 (PBE-GGA)

Data for PrHo2Er7 after structural relaxation.

Size of the total moment = 0.00 μB/f.u.
Fermi-level density of states = 13.9 states/eV per cell
Energy above the most stable polymorph in this dataset = 0.00 kJ per mole of atoms

```
data_PrHo2Er7
_space_group_name_H-M_alt 'P -1'
_space_group_IT_number 2
_space_group_name_Hall '-P 1'
_cell_length_a 6.1067
_cell_length_b 7.0680
_cell_length_c 7.8788
_cell_angle_alpha 77.14
_cell_angle_beta 75.06
_cell_angle_gamma 73.30
loop_
_atom_site_label
_atom_site_fract_x
_atom_site_fract_y
_atom_site_fract_z
Pr1 0.0000 0.0000 0.0000
Ho1 0.1997 0.3010 0.5993
Er1 0.0000 0.5000 0.0000
Er2 0.2010 0.7991 0.5992
Er3 0.3998 0.1002 0.2012
Er4 0.4012 0.5984 0.2014
```

Record 6
## Pr12HoEr2 (PBE-GGA)

Data for Pr12HoEr2 after structural relaxation.

Size of the total moment = 0.00 μB/f.u.
Fermi-level density of states = 86.6 states/eV per cell
Raw total energy = -274.83 eV for the cell shown

```
data_Pr12HoEr2
_space_group_name_H-M_alt 'C m m e'
_space_group_IT_number 67
_space_group_name_Hall '-C 2a 2'
_cell_length_a 7.2442
_cell_length_b 11.7204
_cell_length_c 25.1737
_cell_angle_alpha 90.00
_cell_angle_beta 90.00
_cell_angle_gamma 90.00
loop_
_atom_site_label
_atom_site_fract_x
_atom_site_fract_y
_atom_site_fract_z
Pr1 0.0000 0.0019 0.0728
Pr2 0.0000 0.0239 0.5604
Pr3 0.2306 0.2500 0.4140
Pr4 0.2487 0.2500 0.8696
Pr5 0.2500 0.0000 0.1981
Pr6 0.2500 0.0000 0.3237
Ho1 0.0000 0.2500 0.9991
Er1 0.0000 0.2500 0.2669
Er2 0.0000 0.2500 0.7298
```